A geometry-optimized K3Pm2PuO6 structure, computed with PBE.

```
data_K3Pm2PuO6
_chemical_formula_sum 'K6 Pm4 Pu2 O12'
_cell_length_a 6.241
_cell_length_b 10.809
_cell_length_c 6.627
_cell_angle_alpha 90.00
_cell_angle_beta 108.31
_cell_angle_gamma 90.00
_space_group_name_H-M_alt 'C 1 2/m 1'
_space_group_IT_number 12
loop_
_space_group_symop_operation_xyz
'x,y,z'
'-x,-y,-z'
'-x,y,-z'
'x,-y,z'
'x+1/2,y+1/2,z'
'-x+1/2,-y+1/2,-z'
'-x+1/2,y+1/2,-z'
'x+1/2,-y+1/2,z'
loop_
_atom_site_label
_atom_site_type_symbol
_atom_site_fract_x
_atom_site_fract_y
_atom_site_fract_z
K1 K 0.000 0.000 0.000
K2 K 0.000 0.334 0.000
Pm1 Pm 0.000 0.167 0.500
Pu1 Pu 0.000 0.500 0.500
O1 O 0.228 0.335 0.690
O2 O 0.233 0.000 0.689
```

## Properties
As for the crystal system: monoclinic. Its formation energy (no corrections) is -2.5395 eV/atom. The energy comes out at -174.7 eV/cell. The total magnetic moment comes out at 0.42 μB/atom. The density of states at the Fermi level comes out at 0.5787 states/eV/atom.